Entry 1:
## BC3 (PBE-GGA)

Data for a relaxed structure of BC3.

Cell lengths 6.5729, 7.0714, 7.0714 Å; angles 159.11, 140.80, 45.23 degrees
Atoms (fractional coordinates):
B  0.9800  0.3167  0.6633
B  0.6056  0.3074  0.2982
B  0.5458  0.1703  0.3755
C  0.1464  0.1279  0.0185
C  0.9946  0.0017  0.9928
C  0.6092  0.9611  0.6481
C  0.4819  0.8415  0.6404
C  0.1272  0.7832  0.3440
C  0.0198  0.6629  0.3570
C  0.6539  0.6202  0.0337
C  0.4887  0.4995  0.9892
C  0.0968  0.4576  0.6392

ΔE to the lowest computed polymorph = 26 kJ/mol of formula units
DFT formation energy = 307 meV/atom
N(E_F) = 1.239 states/eV/cell
Total magnetization = 0.000 Bohr magnetons per cell

=====

Entry 2:
## Ga4SnRh5 (PBE-GGA)

Data for a relaxed structure of Ga4SnRh5.

Cell lengths 3.0321, 3.0321, 15.9996 Å; angles 90.00, 90.00, 90.00 degrees
Atoms (fractional coordinates):
Ga  0.0000  0.0000  0.2122
Ga  0.0000  0.0000  0.4044
Ga  0.0000  0.0000  0.5956
Ga  0.0000  0.0000  0.7878
Sn  0.0000  0.0000  0.0000
Rh  0.5000  0.5000  0.1178
Rh  0.5000  0.5000  0.3102
Rh  0.5000  0.5000  0.5000
Rh  0.5000  0.5000  0.6898
Rh  0.5000  0.5000  0.8822

DFT formation energy = -611 meV/atom
N(E_F) = 3.044 states/eV/cell
Total magnetization = 0.000 Bohr magnetons per cell

=====

Entry 3:
## Ce2ZnGe4Au3 (PBE-GGA)

Data for a relaxed structure of Ce2ZnGe4Au3.

Cell lengths 4.3619, 4.3619, 10.9167 Å; angles 90.00, 90.00, 90.00 degrees
Site moments in Bohr magnetons follow the coordinates.
Atoms (fractional coordinates):
Ce  0.5000  0.0000  0.2580  0.83
Ce  0.0000  0.5000  0.7420  0.83
Zn  0.5000  0.5000  0.5000  0.00
Ge  0.5000  0.5000  0.0000  -0.01
Ge  0.0000  0.0000  0.0000  -0.01
Ge  0.5000  0.0000  0.6336  -0.01
Ge  0.0000  0.5000  0.3664  -0.01
Au  0.0000  0.0000  0.5000  -0.01
Au  0.5000  0.0000  0.8624  0.00
Au  0.0000  0.5000  0.1376  0.00

DFT formation energy = -477 meV/atom
N(E_F) = 15.795 states/eV/cell
Total magnetization = 1.760 Bohr magnetons per cell

=====

Entry 4:
## MnCdN3 (PBE-GGA)

Data for a relaxed structure of MnCdN3.

Cell lengths 4.0420, 4.0420, 4.0420 Å; angles 90.00, 90.00, 90.00 degrees
Site moments in Bohr magnetons follow the coordinates.
Atoms (fractional coordinates):
N  0.0000  0.5000  0.0000  -0.04
N  0.0000  0.0000  0.5000  -0.03
N  0.5000  0.0000  0.0000  -0.07
Mn  0.5000  0.5000  0.5000  0.20
Cd  0.0000  0.0000  0.0000  0.01

N(E_F) = 5.682 states/eV/cell
Total magnetization = 0.020 Bohr magnetons per cell
ΔE_f (raw) = 14.56 eV per formula unit

=====

Entry 5:
## TiAsBr2N (PBE-GGA)

Data for a relaxed structure of TiAsBr2N.

Cell lengths 5.0782, 5.0782, 5.1069 Å; angles 90.00, 90.00, 90.00 degrees
Site moments in Bohr magnetons follow the coordinates.
Atoms (fractional coordinates):
As  0.0000  0.0000  0.5000  -0.53
N  0.5000  0.5000  0.5000  1.83
Br  0.0000  0.5000  0.0000  -0.07
Br  0.5000  0.0000  0.0000  -0.07
Ti  0.0000  0.0000  0.0000  0.50

ΔE to the lowest computed polymorph = 0 kJ/mol of formula units
N(E_F) = 1.988 states/eV/cell
Total magnetization = 2.028 Bohr magnetons per cell
ΔE_f (raw) = 3.34 eV per formula unit

=====

Entry 6:
## CaY3Hg (PBE-GGA)

Data for a relaxed structure of CaY3Hg.

Cell lengths 5.5673, 5.5673, 5.5673 Å; angles 90.00, 90.00, 90.00 degrees
Atoms (fractional coordinates):
Y  0.0000  0.5000  0.0000
Y  0.0000  0.0000  0.5000
Y  0.5000  0.0000  0.0000
Ca  0.0000  0.0000  0.0000
Hg  0.5000  0.5000  0.5000

ΔE to the lowest computed polymorph = 373 kJ/mol of formula units
DFT formation energy = 918 meV/atom
N(E_F) = 4.279 states/eV/cell
Total magnetization = 0.000 Bohr magnetons per cell

=====

Entry 7:
## ZrTeAu (PBE-GGA)

Data for a relaxed structure of ZrTeAu.

Cell lengths 5.6365, 3.7933, 13.7362 Å; angles 90.00, 103.26, 90.00 degrees
Atoms (fractional coordinates):
Te  0.4110  0.0000  0.6827
Te  0.4110  0.5000  0.1827
Te  0.5055  0.0000  0.9828
Te  0.5055  0.5000  0.4828
Au  0.0057  0.0000  0.9270
Au  0.0057  0.5000  0.4270
Au  0.0244  0.0000  0.2577
Au  0.0244  0.5000  0.7577
Zr  0.6182  0.0000  0.3393
Zr  0.6182  0.5000  0.8393
Zr  0.8668  0.0000  0.5963
Zr  0.8668  0.5000  0.0963

ΔE to the lowest computed polymorph = 9 kJ/mol of formula units
N(E_F) = 7.989 states/eV/cell
Total magnetization = 0.000 Bohr magnetons per cell
ΔE_f (raw) = -1.55 eV per formula unit

=====

Entry 8:
## SmGdCl2 (PBE-GGA)

Data for a relaxed structure of SmGdCl2.

Cell lengths 3.6144, 3.6144, 9.8336 Å; angles 79.41, 79.41, 60.00 degrees
Site moments in Bohr magnetons follow the coordinates.
Atoms (fractional coordinates):
Gd  0.0000  0.0000  0.0000  7.09
Sm  0.5000  0.5000  0.5000  0.00
Cl  0.0966  0.0966  0.7103  -0.01
Cl  0.9034  0.9034  0.2897  -0.01

N(E_F) = 4.692 states/eV/cell
Total magnetization = 7.340 Bohr magnetons per cell
ΔE_f (raw) = -5.27 eV per formula unit

=====

Entry 9:
## Sc5CuAu4 (PBE-GGA)

Data for a relaxed structure of Sc5CuAu4.

Cell lengths 3.3767, 3.3767, 16.9808 Å; angles 90.00, 90.00, 90.00 degrees
Atoms (fractional coordinates):
Sc  0.5000  0.5000  0.0940
Sc  0.5000  0.5000  0.2965
Sc  0.5000  0.5000  0.5000
Sc  0.5000  0.5000  0.7035
Sc  0.5000  0.5000  0.9060
Cu  0.0000  0.0000  0.0000
Au  0.0000  0.0000  0.1943
Au  0.0000  0.0000  0.3975
Au  0.0000  0.0000  0.6025
Au  0.0000  0.0000  0.8057

DFT formation energy = -699 meV/atom
N(E_F) = 6.367 states/eV/cell
Total magnetization = 0.000 Bohr magnetons per cell

=====

Entry 10:
## Ba2AcF6 (PBE-GGA)

Data for a relaxed structure of Ba2AcF6.

Cell lengths 4.3449, 6.4495, 7.5632 Å; angles 115.24, 106.69, 90.00 degrees
Site moments in Bohr magnetons follow the coordinates.
Atoms (fractional coordinates):
Ba  0.6561  0.6561  0.3122  0.09
Ba  0.3439  0.3439  0.6878  0.09
Ac  0.0000  0.0000  0.0000  0.06
F  0.1651  0.3857  0.3303  0.01
F  0.8349  0.0555  0.6697  0.01
F  0.8349  0.6143  0.6697  0.01
F  0.5000  0.2042  0.0000  0.01
F  0.1651  0.9445  0.3303  0.01
F  0.5000  0.7958  0.0000  0.01

N(E_F) = 0.488 states/eV/cell
Total magnetization = 0.983 Bohr magnetons per cell
ΔE_f (raw) = -33.90 eV per formula unit

=====

Entry 11:
## K3SbH3 (PBE-GGA)

Data for a relaxed structure of K3SbH3.

Cell lengths 8.3858, 8.3858, 9.2776 Å; angles 63.13, 63.13, 60.00 degrees
Atoms (fractional coordinates):
K  0.4056  0.9063  0.7819
K  0.9063  0.9063  0.7819
K  0.9063  0.4056  0.7819
K  0.0937  0.5944  0.2181
K  0.0937  0.0937  0.2181
K  0.5944  0.0937  0.2181
Sb  0.6223  0.6223  0.1330
Sb  0.3777  0.3777  0.8670
H  0.2304  0.2304  0.8769
H  0.6623  0.2304  0.8769
H  0.2304  0.6623  0.8769
H  0.7696  0.3377  0.1231
H  0.3377  0.7696  0.1231
H  0.7696  0.7696  0.1231

N(E_F) = 4.342 states/eV/cell
Total magnetization = 1.219 Bohr magnetons per cell
Energy = -2.35 eV/atom

=====

Entry 12:
## Ho2PuTe (PBE-GGA)

Data for a relaxed structure of Ho2PuTe.

Cell lengths 3.8032, 3.8032, 7.7321 Å; angles 90.00, 90.00, 90.00 degrees
Site moments in Bohr magnetons follow the coordinates.
Atoms (fractional coordinates):
Te  0.5000  0.5000  0.5000  0.00
Ho  0.0000  0.0000  0.7299  0.13
Ho  0.0000  0.0000  0.2701  0.13
Pu  0.5000  0.5000  0.0000  5.50

ΔE to the lowest computed polymorph = 0 kJ/mol of formula units
N(E_F) = 7.407 states/eV/cell
Total magnetization = 6.178 Bohr magnetons per cell
ΔE_f (raw) = -1.81 eV per formula unit

=====

Entry 13:
## Cd3TeI (PBE-GGA)

Data for a relaxed structure of Cd3TeI.

Cell lengths 5.8610, 5.8610, 5.8610 Å; angles 90.00, 90.00, 90.00 degrees
Atoms (fractional coordinates):
I  0.5000  0.5000  0.5000
Te  0.0000  0.0000  0.0000
Cd  0.0000  0.5000  0.0000
Cd  0.0000  0.0000  0.5000
Cd  0.5000  0.0000  0.0000

ΔE to the lowest computed polymorph = 0 kJ/mol of formula units
N(E_F) = 1.449 states/eV/cell
Total magnetization = 0.000 Bohr magnetons per cell
ΔE_f (raw) = 0.18 eV per formula unit

=====

Entry 14:
## CaAlInS4 (PBE-GGA)

Data for a relaxed structure of CaAlInS4.

Cell lengths 6.9648, 6.9648, 7.7755 Å; angles 90.00, 90.00, 113.87 degrees
Atoms (fractional coordinates):
Ca  0.5000  0.5000  0.5000
Ca  0.5000  0.5000  0.0000
Al  0.1412  0.8588  0.2500
Al  0.8588  0.1412  0.7500
In  0.8545  0.1455  0.2500
In  0.1455  0.8545  0.7500
S  0.2164  0.2414  0.7500
S  0.7586  0.7836  0.7500
S  0.7419  0.2581  0.9810
S  0.7419  0.2581  0.5190
S  0.2581  0.7419  0.0190
S  0.2581  0.7419  0.4810
S  0.7836  0.7586  0.2500
S  0.2414  0.2164  0.2500

Total magnetization = 0.000 Bohr magnetons per cell
ΔE_f (raw) = -8.26 eV per formula unit

=====

Entry 15:
## LaCrAs2Se (PBE-GGA)

Data for a relaxed structure of LaCrAs2Se.

Cell lengths 5.6971, 5.6971, 5.6580 Å; angles 90.00, 90.00, 90.00 degrees
Site moments in Bohr magnetons follow the coordinates.
Atoms (fractional coordinates):
Cr  0.5000  0.5000  0.5000  -4.26
As  0.0000  0.5000  0.0000  0.24
As  0.5000  0.0000  0.0000  0.24
Se  0.0000  0.0000  0.5000  0.13
La  0.0000  0.0000  0.0000  0.04

ΔE to the lowest computed polymorph = 593 kJ/mol of formula units
N(E_F) = 6.721 states/eV/cell
Total magnetization = 3.559 Bohr magnetons per cell
ΔE_f (raw) = 3.20 eV per formula unit

=====

Entry 16:
## Sm3GeS2 (PBE-GGA)

Data for a relaxed structure of Sm3GeS2.

Cell lengths 4.1211, 5.7918, 7.0854 Å; angles 114.12, 106.91, 90.00 degrees
Atoms (fractional coordinates):
Sm  0.8324  0.3324  0.1647
Sm  0.1676  0.6676  0.8353
Sm  0.5000  0.0000  0.5000
Ge  0.5000  0.5000  0.5000
S  0.8342  0.8342  0.1684
S  0.1658  0.1658  0.8316

N(E_F) = 2.030 states/eV/cell
Total magnetization = 0.000 Bohr magnetons per cell
ΔE_f (raw) = -10.16 eV per formula unit

=====

Entry 17:
## BeCr2Ir (PBE-GGA)

Data for a relaxed structure of BeCr2Ir.

Cell lengths 2.8994, 2.8994, 5.5491 Å; angles 90.00, 90.00, 90.00 degrees
Site moments in Bohr magnetons follow the coordinates.
Atoms (fractional coordinates):
Cr  0.0000  0.0000  0.0000  1.53
Cr  0.5000  0.5000  0.2190  -1.21
Ir  0.0000  0.0000  0.5314  0.13
Be  0.5000  0.5000  0.7495  -0.01

DFT formation energy = -195 meV/atom
N(E_F) = 2.348 states/eV/cell
Total magnetization = 0.495 Bohr magnetons per cell

=====

Entry 18:
## AcBeNi3B (PBE-GGA)

Data for a relaxed structure of AcBeNi3B.

Cell lengths 5.9667, 5.3852, 6.0766 Å; angles 116.30, 90.00, 90.00 degrees
Atoms (fractional coordinates):
Ac  0.7500  0.2667  0.5334
Ac  0.2500  0.7333  0.4666
Be  0.2500  0.4055  0.8110
Be  0.7500  0.5945  0.1890
Ni  0.2500  0.1920  0.3840
Ni  0.0000  0.2364  0.0000
Ni  0.5000  0.7636  0.0000
Ni  0.5000  0.2364  0.0000
Ni  0.0000  0.7636  0.0000
Ni  0.7500  0.8080  0.6160
B  0.2500  0.0114  0.0228
B  0.7500  0.9886  0.9772

DFT formation energy = -205 meV/atom
N(E_F) = 7.556 states/eV/cell
Total magnetization = 0.000 Bohr magnetons per cell

=====

Entry 19:
## EuPuRu (PBE-GGA)

Data for a relaxed structure of EuPuRu.

Cell lengths 3.5758, 3.5758, 6.3045 Å; angles 106.47, 106.47, 90.00 degrees
Site moments in Bohr magnetons follow the coordinates.
Atoms (fractional coordinates):
Eu  0.0098  0.0098  0.0197  6.99
Ru  0.7004  0.7004  0.4008  -0.71
Pu  0.2898  0.2898  0.5796  5.13

DFT formation energy = -15 meV/atom
N(E_F) = 8.303 states/eV/cell
Total magnetization = 12.155 Bohr magnetons per cell

=====

Entry 20:
## CsGa2Hg (PBE-GGA)

Data for a relaxed structure of CsGa2Hg.

Cell lengths 5.3787, 5.3787, 11.0338 Å; angles 75.89, 75.89, 90.00 degrees
Atoms (fractional coordinates):
Cs  0.5000  0.5000  0.0000
Cs  0.2500  0.7500  0.5000
Hg  0.0000  0.0000  0.0000
Hg  0.7500  0.2500  0.5000
Ga  0.8758  0.1250  0.2500
Ga  0.8742  0.6250  0.2500
Ga  0.3750  0.1242  0.7500
Ga  0.8750  0.1258  0.7500

DFT formation energy = 43 meV/atom
N(E_F) = 5.325 states/eV/cell
Total magnetization = 0.000 Bohr magnetons per cell

=====

Entry 21:
## Y6CuS5 (PBE-GGA)

Data for a relaxed structure of Y6CuS5.

Cell lengths 6.8302, 6.8302, 6.8181 Å; angles 99.64, 99.64, 120.04 degrees
Atoms (fractional coordinates):
Y  0.4156  0.0819  0.2483
Y  0.9181  0.5844  0.7517
Y  0.2494  0.2494  0.7501
Y  0.7506  0.7506  0.2499
Y  0.0819  0.4156  0.2483
Y  0.5844  0.9181  0.7517
S  0.8307  0.1693  0.5000
S  0.6656  0.3344  0.0000
S  0.5000  0.5000  0.5000
S  0.3344  0.6656  0.0000
S  0.1693  0.8307  0.5000
Cu  0.0000  0.0000  0.0000

N(E_F) = 4.632 states/eV/cell
Total magnetization = 0.000 Bohr magnetons per cell
ΔE_f (raw) = -20.60 eV per formula unit

=====

Entry 22:
## BeSiP2 (PBE-GGA)

Data for a relaxed structure of BeSiP2.

Cell lengths 3.4301, 3.4301, 5.7373 Å; angles 72.90, 72.90, 60.34 degrees
Atoms (fractional coordinates):
P  0.9994  0.9994  0.9903
P  0.5006  0.5006  0.5097
Si  0.2500  0.2500  0.2500
Be  0.7500  0.7500  0.7500

ΔE to the lowest computed polymorph = 188 kJ/mol of formula units
N(E_F) = 1.449 states/eV/cell
Total magnetization = 0.000 Bohr magnetons per cell
ΔE_f (raw) = 0.44 eV per formula unit

=====

Entry 23:
## SmY2Cu (PBE-GGA)

Data for a relaxed structure of SmY2Cu.

Cell lengths 3.5486, 3.5486, 11.0298 Å; angles 80.74, 80.74, 60.00 degrees
Atoms (fractional coordinates):
Y  0.1061  0.1061  0.6818
Y  0.8939  0.8939  0.3182
Cu  0.5000  0.5000  0.5000
Sm  0.0000  0.0000  0.0000

ΔE to the lowest computed polymorph = 122 kJ/mol of formula units
DFT formation energy = 219 meV/atom
N(E_F) = 6.394 states/eV/cell
Total magnetization = 0.006 Bohr magnetons per cell

=====

Entry 24:
## Ba2Li2Hg (PBE-GGA)

Data for a relaxed structure of Ba2Li2Hg.

Cell lengths 6.5432, 6.5432, 6.2189 Å; angles 58.26, 58.26, 90.00 degrees
Atoms (fractional coordinates):
Li  0.3463  0.3463  0.3075
Li  0.6537  0.6537  0.6925
Hg  0.0000  0.0000  0.0000
Ba  0.7500  0.2500  0.5000
Ba  0.2500  0.7500  0.5000

ΔE to the lowest computed polymorph = 67 kJ/mol of formula units
DFT formation energy = -52 meV/atom
N(E_F) = 1.707 states/eV/cell
Total magnetization = 0.000 Bohr magnetons per cell

=====

Entry 25:
## Sc2AlMoPt (PBE-GGA)

Data for a relaxed structure of Sc2AlMoPt.

Cell lengths 5.0213, 4.6739, 5.0213 Å; angles 90.00, 90.00, 90.00 degrees
Site moments in Bohr magnetons follow the coordinates.
Atoms (fractional coordinates):
Sc  0.0000  0.0000  0.5000  -0.03
Sc  0.5000  0.0000  0.0000  -0.09
Mo  0.5000  0.5000  0.5000  2.74
Al  0.0000  0.5000  0.0000  -0.01
Pt  0.0000  0.0000  0.0000  0.04

DFT formation energy = 287 meV/atom
N(E_F) = 5.073 states/eV/cell
Total magnetization = 3.135 Bohr magnetons per cell